Here is a relaxed structure of ZrAgHgMo2 from Alexandria. Energies are from PBE.

Cell: 4.981 4.981 5.190 Å, 90.00 90.00 90.00°
Last column: magnetic moment on the atom in μB.
Sites, in units of the cell vectors:
Ag  0.500  0.500  0.500  0.00
Hg  0.000  0.000  0.000  0.04
Zr  0.000  0.000  0.500  -0.02
Mo  0.500  0.000  0.000  0.54
Mo  0.000  0.500  0.000  0.54

Volume in A^3/atom: 25.75
Fermi-level density of states in states/eV/cell: 5.65
Electronic total energy in hartree per atom: -0.16897
E_form in meV per atom: 2075
Symmetry: P4/mmm, No. 123



Here is a relaxed structure of CoReW3 from Alexandria. Energies are from PBE.

Cell: 4.400 4.400 4.400 Å, 90.00 90.00 90.00°
Sites, in units of the cell vectors:
W  0.000  0.500  0.000
W  0.000  0.000  0.500
W  0.500  0.000  0.000
Co  0.000  0.000  0.000
Re  0.500  0.500  0.500

Volume in A^3/atom: 17.04
Fermi-level density of states in states/eV/cell: 8.30
Offset from the most stable computed form in meV/atom: 0
Electronic total energy in hartree per atom: -0.37382
E_form in meV per atom: 1511
Symmetry: Pm-3m, No. 221



Here is a relaxed structure of NaPr3Sm3Te8 from Alexandria. Energies are from PBE.

Cell: 8.951 8.950 8.961 Å, 119.96 90.00 120.00°
Sites, in units of the cell vectors:
Te  0.745  0.491  0.250
Te  0.259  0.004  0.250
Te  0.255  0.509  0.750
Te  0.252  0.504  0.256
Te  0.255  0.996  0.750
Te  0.748  0.496  0.744
Te  0.741  0.996  0.750
Te  0.745  0.004  0.250
Sm  0.500  0.500  0.500
Sm  0.000  0.500  0.500
Sm  0.500  0.000  0.500
Pr  0.000  0.500  0.000
Pr  0.500  0.500  0.000
Pr  0.000  0.000  0.000
Na  0.000  0.000  0.500

Volume in A^3/atom: 33.86
Fermi-level density of states in states/eV/cell: 4.48
Electronic total energy in hartree per atom: -0.18590
E_form (uncorrected) in meV/atom: -1395.4
Symmetry: R-3m, No. 166



Q: Among the records above, which one has the lowest Fermi-level density of states?
A: NaPr3Sm3Te8